Density functional theory data (PBE-GGA) for a relaxed structure of ZrMoSN2.

Results
Symmetry: No. 123
Uncorrected formation energy, meV per atom: -48
Energy above the most stable polymorph in this dataset, meV/atom: 0

Unit cell a=3.910 b=3.910 c=4.777 alpha=90.00 beta=90.00 gamma=90.00
Fractional coordinates of all 5 atoms:
Zr  0.000  0.000  0.000
Mo  0.500  0.500  0.500
S  0.500  0.500  0.000
N  0.000  0.500  0.500
N  0.500  0.000  0.500

***

Density functional theory data (PBE-GGA) for a relaxed structure of Sb3MoN.

Results
Symmetry: No. 221
Uncorrected formation energy, meV per atom: 1470
Energy above the most stable polymorph in this dataset, meV/atom: 621

Unit cell a=5.130 b=5.130 c=5.130 alpha=90.00 beta=90.00 gamma=90.00
Fractional coordinates of all 5 atoms:
Sb  0.000  0.000  0.500
Sb  0.000  0.500  0.000
Sb  0.500  0.000  0.000
Mo  0.000  0.000  0.000
N  0.500  0.500  0.500

***

Density functional theory data (PBE-GGA) for a relaxed structure of Sb4MoN2.

Results
Symmetry: No. 139
Uncorrected formation energy, meV per atom: 998

Unit cell a=5.197 b=5.197 c=11.629 alpha=90.00 beta=90.00 gamma=90.00
Fractional coordinates of all 14 atoms:
Sb  0.000  0.000  0.228
Sb  0.000  0.000  0.772
Sb  0.000  0.500  0.000
Sb  0.000  0.500  0.500
Sb  0.500  0.000  0.000
Sb  0.500  0.000  0.500
Sb  0.500  0.500  0.272
Sb  0.500  0.500  0.728
Mo  0.000  0.000  0.000
Mo  0.500  0.500  0.500
N  0.000  0.000  0.395
N  0.000  0.000  0.605
N  0.500  0.500  0.105
N  0.500  0.500  0.895

***

Density functional theory data (PBE-GGA) for a relaxed structure of SbMoN3.

Results
Symmetry: No. 221
Uncorrected formation energy, meV per atom: 647

Unit cell a=3.980 b=3.980 c=3.980 alpha=90.00 beta=90.00 gamma=90.00
Fractional coordinates of all 5 atoms:
Sb  0.000  0.000  0.000
Mo  0.500  0.500  0.500
N  0.000  0.500  0.500
N  0.500  0.000  0.500
N  0.500  0.500  0.000

***

Density functional theory data (PBE-GGA) for a relaxed structure of SbMoN3.

Results
Symmetry: No. 221
Uncorrected formation energy, meV per atom: 1595

Unit cell a=3.975 b=3.975 c=3.975 alpha=90.00 beta=90.00 gamma=90.00
Fractional coordinates of all 5 atoms:
Sb  0.000  0.000  0.000
Mo  0.500  0.500  0.500
N  0.000  0.000  0.500
N  0.000  0.500  0.000
N  0.500  0.000  0.000

***

Density functional theory data (PBE-GGA) for a relaxed structure of Sb3MoN.

Results
Symmetry: No. 221
Uncorrected formation energy, meV per atom: 849
Energy above the most stable polymorph in this dataset, meV/atom: 0

Unit cell a=4.634 b=4.634 c=4.634 alpha=90.00 beta=90.00 gamma=90.00
Fractional coordinates of all 5 atoms:
Sb  0.000  0.000  0.500
Sb  0.000  0.500  0.000
Sb  0.500  0.000  0.000
Mo  0.500  0.500  0.500
N  0.000  0.000  0.000

***

Number 1: size of the total moment 0.000 μB per atom. Number 2: size of the total moment 0.000 μB per atom. Number 3: size of the total moment 0.000 μB per atom. Number 4: size of the total moment 0.000 μB per atom. Number 5: size of the total moment 0.399 μB per atom. Number 6: size of the total moment 0.427 μB per atom.